! PBE Y2W3, relaxed; values from VASP
! space-group type	P-3m1
! crystal system	trigonal
! V	104.6	Å³/cell
! raw total energy	-47.9	eV for the cell shown
! excess energy over the best structure of this formula in the dataset	510	meV per atom
! ΔE_f	0.778	eV/atom
&SYSTEM
  ibrav = 0, nat = 5, ntyp = 2
/
ATOMIC_SPECIES
W 183.84 W.upf
Y 88.91 Y.upf
CELL_PARAMETERS angstrom
-2.957 0.495 0.982
0.982 -2.930 -0.633
3.613 -1.277 11.520
ATOMIC_POSITIONS angstrom
W 0.432 -1.380 7.061
W 0.000 0.000 0.000
W 1.207 -2.332 4.809
Y 2.523 -2.797 9.003
Y -0.884 -0.915 2.866



! PBE YW7, relaxed; values from VASP
! space-group type	Fm-3m
! crystal system	cubic
! V	140.0	Å³/cell
! raw total energy	-91.0	eV for the cell shown
! ΔE_f	0.764	eV/atom
&SYSTEM
  ibrav = 0, nat = 8, ntyp = 2
/
ATOMIC_SPECIES
W 183.84 W.upf
Y 88.91 Y.upf
CELL_PARAMETERS angstrom
0.224 -5.644 1.437
-2.155 -1.793 5.109
-4.892 -3.165 0.150
ATOMIC_POSITIONS angstrom
W -1.078 -0.897 2.555
W -2.446 -1.583 0.075
W -3.412 -5.301 3.348
W -2.334 -4.404 0.793
W -3.524 -2.479 2.629
W -0.966 -3.719 3.273
W 0.112 -2.822 0.719
Y 0.000 0.000 0.000



! PBE Y3W, relaxed; values from VASP
! space-group type	I4/mmm
! crystal system	tetragonal
! V	102.5	Å³/cell
! raw total energy	-30.4	eV for the cell shown
! excess energy over the best structure of this formula in the dataset	78	meV per atom
! ΔE_f	0.495	eV/atom
&SYSTEM
  ibrav = 0, nat = 4, ntyp = 2
/
ATOMIC_SPECIES
Y 88.91 Y.upf
W 183.84 W.upf
CELL_PARAMETERS angstrom
4.780 0.000 0.000
-2.390 5.082 0.027
0.000 2.226 4.230
ATOMIC_POSITIONS angstrom
Y 2.390 1.113 2.115
Y 0.000 3.098 1.071
Y 2.390 4.210 3.186
W 0.000 0.000 0.000



! PBE YW2, relaxed; values from VASP
! space-group type	Pnnm
! crystal system	orthorhombic
! V	116.4	Å³/cell
! raw total energy	-60.4	eV for the cell shown
! ΔE_f	0.717	eV/atom
&SYSTEM
  ibrav = 0, nat = 6, ntyp = 2
/
ATOMIC_SPECIES
W 183.84 W.upf
Y 88.91 Y.upf
CELL_PARAMETERS angstrom
2.808 0.000 0.000
0.000 5.049 0.000
0.000 0.000 8.213
ATOMIC_POSITIONS angstrom
W 0.293 0.000 2.846
W 1.111 2.524 6.953
W 1.697 2.524 1.260
W 2.515 0.000 5.367
Y 1.404 2.524 4.107
Y 0.000 0.000 0.000



! PBE Y2W3, relaxed; values from VASP
! space-group type	R-3m
! crystal system	trigonal
! V	103.3	Å³/cell
! raw total energy	-48.1	eV for the cell shown
! excess energy over the best structure of this formula in the dataset	462	meV per atom
! ΔE_f	0.729	eV/atom
&SYSTEM
  ibrav = 0, nat = 5, ntyp = 2
/
ATOMIC_SPECIES
Y 88.91 Y.upf
W 183.84 W.upf
CELL_PARAMETERS angstrom
12.139 -1.570 0.000
12.139 1.570 0.000
11.936 0.000 2.711
ATOMIC_POSITIONS angstrom
Y 32.719 0.000 2.449
Y 3.495 0.000 0.262
W 25.061 0.000 1.876
W 18.107 0.000 1.356
W 11.153 0.000 0.835



! PBE YW2, relaxed; values from VASP
! space-group type	P6/mmm
! crystal system	hexagonal
! V	70.4	Å³/cell
! raw total energy	-30.1	eV for the cell shown
! ΔE_f	0.767	eV/atom
&SYSTEM
  ibrav = 0, nat = 3, ntyp = 2
/
ATOMIC_SPECIES
Y 88.91 Y.upf
W 183.84 W.upf
CELL_PARAMETERS angstrom
4.213 0.000 0.000
-2.106 3.648 0.000
0.000 0.000 4.582
ATOMIC_POSITIONS angstrom
Y 0.000 0.000 0.000
W 2.106 1.216 2.291
W 0.000 2.432 2.291



! PBE YW2, relaxed; values from VASP
! space-group type	Cmcm
! crystal system	orthorhombic
! V	117.3	Å³/cell
! raw total energy	-61.4	eV for the cell shown
! ΔE_f	0.553	eV/atom
&SYSTEM
  ibrav = 0, nat = 6, ntyp = 2
/
ATOMIC_SPECIES
W 183.84 W.upf
Y 88.91 Y.upf
CELL_PARAMETERS angstrom
-5.758 -1.874 -4.555
5.269 -3.155 4.438
-2.041 0.139 2.523
ATOMIC_POSITIONS angstrom
W -4.314 -2.115 -0.238
W -1.668 -2.374 -0.173
W 1.785 -2.775 2.643
W -0.861 -2.516 2.578
Y 2.688 -2.929 5.473
Y -5.218 -1.961 -3.068



! PBE YW2, relaxed; values from VASP
! space-group type	Fmmm
! crystal system	orthorhombic
! V	116.0	Å³/cell
! raw total energy	-61.8	eV for the cell shown
! ΔE_f	0.494	eV/atom
&SYSTEM
  ibrav = 0, nat = 6, ntyp = 2
/
ATOMIC_SPECIES
Y 88.91 Y.upf
W 183.84 W.upf
CELL_PARAMETERS angstrom
-6.474 0.480 -3.659
5.298 -3.503 3.899
-2.270 1.214 4.175
ATOMIC_POSITIONS angstrom
Y 0.653 -1.596 5.141
Y -4.100 -0.212 -0.727
W -7.363 1.116 -0.006
W -3.104 -0.325 2.729
W 3.917 -2.924 4.420
W -0.342 -1.483 1.686



! PBE Y3W, relaxed; values from VASP
! space-group type	P6_3/mmc
! crystal system	hexagonal
! V	413.3	Å³/cell
! raw total energy	-121.9	eV for the cell shown
! excess energy over the best structure of this formula in the dataset	51	meV per atom
! ΔE_f	0.469	eV/atom
&SYSTEM
  ibrav = 0, nat = 16, ntyp = 2
/
ATOMIC_SPECIES
Y 88.91 Y.upf
W 183.84 W.upf
CELL_PARAMETERS angstrom
6.687 0.000 0.000
3.343 5.791 0.000
0.000 0.000 10.673
ATOMIC_POSITIONS angstrom
Y 6.687 1.852 8.005
Y 4.947 4.865 8.005
Y 5.083 0.926 2.668
Y 1.604 0.926 2.668
Y 1.672 2.895 5.336
Y 5.015 2.895 5.336
Y 3.343 3.939 2.668
Y 3.343 0.000 0.000
Y 1.672 2.895 0.000
Y 8.427 4.865 8.005
Y 3.343 0.000 5.336
Y 5.015 2.895 0.000
W 6.687 3.861 2.668
W 0.000 0.000 0.000
W 0.000 0.000 5.336
W 3.343 1.930 8.005



! PBE Y3W, relaxed; values from VASP
! space-group type	R-3m
! crystal system	trigonal
! V	107.9	Å³/cell
! raw total energy	-30.2	eV for the cell shown
! excess energy over the best structure of this formula in the dataset	130	meV per atom
! ΔE_f	0.548	eV/atom
&SYSTEM
  ibrav = 0, nat = 4, ntyp = 2
/
ATOMIC_SPECIES
W 183.84 W.upf
Y 88.91 Y.upf
CELL_PARAMETERS angstrom
-0.128 2.717 -2.029
-10.392 -3.418 -1.081
-0.593 3.072 1.314
ATOMIC_POSITIONS angstrom
W 0.000 0.000 0.000
Y -5.557 1.186 -0.898
Y -2.720 3.546 -0.755
Y -8.393 -1.175 -1.042



! PBE Y3W2, relaxed; values from VASP
! space-group type	P-3m1
! crystal system	trigonal
! V	129.2	Å³/cell
! raw total energy	-42.0	eV for the cell shown
! excess energy over the best structure of this formula in the dataset	435	meV per atom
! ΔE_f	0.668	eV/atom
&SYSTEM
  ibrav = 0, nat = 5, ntyp = 2
/
ATOMIC_SPECIES
Y 88.91 Y.upf
W 183.84 W.upf
CELL_PARAMETERS angstrom
4.158 2.539 0.019
-4.158 2.146 -1.355
-1.065 1.699 5.959
ATOMIC_POSITIONS angstrom
Y 0.707 3.491 3.358
Y 0.000 0.000 0.000
Y -1.773 2.893 1.265
W -2.361 3.832 4.557
W 1.296 2.552 0.065



! PBE Y3W, relaxed; values from VASP
! space-group type	Pmmn
! crystal system	orthorhombic
! V	207.1	Å³/cell
! raw total energy	-61.3	eV for the cell shown
! excess energy over the best structure of this formula in the dataset	0	meV per atom
! ΔE_f	0.418	eV/atom
&SYSTEM
  ibrav = 0, nat = 8, ntyp = 2
/
ATOMIC_SPECIES
Y 88.91 Y.upf
W 183.84 W.upf
CELL_PARAMETERS angstrom
5.203 0.000 0.000
0.000 5.907 0.000
0.000 0.000 6.740
ATOMIC_POSITIONS angstrom
Y 2.601 3.779 0.000
Y 0.000 2.129 3.370
Y 0.000 4.891 5.028
Y 2.601 1.016 5.082
Y 0.000 4.891 1.712
Y 2.601 1.016 1.658
W 2.601 4.085 3.370
W 0.000 1.823 0.000



! PBE Y3W2, relaxed; values from VASP
! space-group type	Immm
! crystal system	orthorhombic
! V	114.5	Å³/cell
! raw total energy	-42.2	eV for the cell shown
! excess energy over the best structure of this formula in the dataset	380	meV per atom
! ΔE_f	0.613	eV/atom
&SYSTEM
  ibrav = 0, nat = 5, ntyp = 2
/
ATOMIC_SPECIES
W 183.84 W.upf
Y 88.91 Y.upf
CELL_PARAMETERS angstrom
-1.496 2.514 7.615
1.496 -2.514 7.615
1.496 2.514 -7.615
ATOMIC_POSITIONS angstrom
W 0.000 0.000 6.309
W 0.000 0.000 8.920
Y 0.000 0.000 12.231
Y 0.000 0.000 2.999
Y 0.000 0.000 0.000



! PBE Y2W3, relaxed; values from VASP
! space-group type	Immm
! crystal system	orthorhombic
! V	104.4	Å³/cell
! raw total energy	-48.2	eV for the cell shown
! excess energy over the best structure of this formula in the dataset	440	meV per atom
! ΔE_f	0.708	eV/atom
&SYSTEM
  ibrav = 0, nat = 5, ntyp = 2
/
ATOMIC_SPECIES
W 183.84 W.upf
Y 88.91 Y.upf
CELL_PARAMETERS angstrom
7.513 2.727 1.661
4.656 2.393 6.263
-4.743 -4.846 -4.545
ATOMIC_POSITIONS angstrom
W 5.130 2.159 3.341
W 7.039 2.962 4.584
W 0.000 0.000 0.000
Y 2.260 0.951 1.472
Y 9.909 4.170 6.453



no.,total magnetization (μB/f.u.)
1,0.0
2,0.0
3,0.0
4,0.0
5,0.0
6,0.0
7,0.0
8,0.0
9,0.0
10,1.0
11,0.0
12,0.0
13,0.0
14,0.0